## RbV6O8 (PBE with a Hubbard U)

Data for a geometry-optimized RbV6O8 structure.

a b c (Å): 5.9856 5.9856 5.9856
angles (deg): 93.41 93.41 93.41
Last column: nearest neighbours and their distance in Å.
Fractional coordinates of all 15 atoms:
Rb 0.0000 0.0000 0.0000  2 O 2.62
V 0.6260 0.4257 0.8076  5 O 1.99-2.16
V 0.4257 0.8076 0.6260  5 O 1.99-2.16
V 0.8076 0.6260 0.4257  5 O 1.99-2.16
V 0.3740 0.5743 0.1924  5 O 1.99-2.16
V 0.5743 0.1924 0.3740  5 O 1.99-2.16
V 0.1924 0.3740 0.5743  5 O 1.99-2.16
O 0.7309 0.7309 0.7309  3 V 1.99
O 0.2691 0.2691 0.2691  3 V 1.99
O 0.5876 0.8594 0.3178  4 V 2.01-2.16
O 0.8594 0.3178 0.5876  4 V 2.01-2.16
O 0.3178 0.5876 0.8594  4 V 2.01-2.16
O 0.4124 0.1406 0.6822  4 V 2.01-2.16
O 0.1406 0.6822 0.4124  4 V 2.01-2.16
O 0.6822 0.4124 0.1406  4 V 2.01-2.16

Results
* total energy: -7.32 eV/atom
* space-group type: No. 148